Material: BaPrHfS4
Method: DFT, PBE
State: optimized geometry

Energy relative to the elements, uncorrected ... -1.75 eV per atom
Uncorrected energy ... -6.49 eV per atom
Density ... 5.392 g/cm³

The structure in CIF format:
```
data_BaPrHfS4
_space_group_name_H-M_alt 'C m c m'
_space_group_IT_number 63
_space_group_name_Hall '-C 2c 2'
_cell_length_a 6.8682
_cell_length_b 15.0551
_cell_length_c 6.9685
_cell_angle_alpha 90.00
_cell_angle_beta 90.00
_cell_angle_gamma 90.00
loop_
_atom_site_label
_atom_site_type_symbol
_atom_site_fract_x
_atom_site_fract_y
_atom_site_fract_z
_atom_site_occupancy
Ba1 Ba 0.0000 0.1047 0.2500 1
Pr1 Pr 0.0000 0.3785 0.2500 1
Hf1 Hf 0.0000 0.2589 0.7500 1
S1 S 0.0000 0.0898 0.7500 1
S2 S 0.0000 0.4323 0.7500 1
S3 S 0.2500 0.2500 0.0000 1
```

=====

Material: Zn2GaRh3
Method: DFT, PBE
State: optimized geometry

Calculated formation energy ... -12.551 kcal/mol of atoms
Uncorrected energy ... -5.15 eV per atom
Density ... 10.199 g/cm³

The structure in CIF format:
```
data_Zn2GaRh3
_space_group_name_H-M_alt 'C m m m'
_space_group_IT_number 65
_space_group_name_Hall '-C 2 2'
_cell_length_a 4.2655
_cell_length_b 12.8148
_cell_length_c 6.0672
_cell_angle_alpha 90.00
_cell_angle_beta 90.00
_cell_angle_gamma 90.00
loop_
_atom_site_label
_atom_site_type_symbol
_atom_site_fract_x
_atom_site_fract_y
_atom_site_fract_z
_atom_site_occupancy
Zn1 Zn 0.0000 0.0000 0.0000 1
Zn2 Zn 0.0000 0.0000 0.5000 1
Zn3 Zn 0.0000 0.3333 0.0000 1
Ga1 Ga 0.0000 0.3363 0.5000 1
Rh1 Rh 0.0000 0.1683 0.2548 1
Rh2 Rh 0.0000 0.5000 0.2512 1
```

=====

Material: InSb2Rh
Method: DFT, PBE
State: optimized geometry

Energy relative to the elements, uncorrected ... -0.16 eV per atom
Uncorrected energy ... -4.74 eV per atom
Density ... 8.296 g/cm³

The structure in CIF format:
```
data_InSb2Rh
_space_group_name_H-M_alt 'P 4/m m m'
_space_group_IT_number 123
_space_group_name_Hall '-P 4 2'
_cell_length_a 3.3105
_cell_length_b 3.3105
_cell_length_c 8.4236
_cell_angle_alpha 90.00
_cell_angle_beta 90.00
_cell_angle_gamma 90.00
loop_
_atom_site_label
_atom_site_type_symbol
_atom_site_fract_x
_atom_site_fract_y
_atom_site_fract_z
_atom_site_occupancy
In1 In 0.0000 0.0000 0.0000 1
Sb1 Sb 0.5000 0.5000 0.3074 1
Rh1 Rh 0.0000 0.0000 0.5000 1
```

=====

Material: ZrFe4P12
Method: DFT, PBE
State: optimized geometry

Calculated formation energy ... -11.964 kcal/mol of atoms
Uncorrected energy ... -6.83 eV per atom
Density ... 4.897 g/cm³

The structure in CIF format:
```
data_ZrFe4P12
_space_group_name_H-M_alt 'I m -3'
_space_group_IT_number 204
_space_group_name_Hall '-I 2 2 3'
_cell_length_a 7.7494
_cell_length_b 7.7494
_cell_length_c 7.7494
_cell_angle_alpha 90.00
_cell_angle_beta 90.00
_cell_angle_gamma 90.00
loop_
_atom_site_label
_atom_site_type_symbol
_atom_site_fract_x
_atom_site_fract_y
_atom_site_fract_z
_atom_site_occupancy
Zr1 Zr 0.0000 0.0000 0.0000 1
Fe1 Fe 0.2500 0.2500 0.2500 1
P1 P 0.0000 0.3477 0.1488 1
```